## FeHgSbIr (PBE-GGA)

Data for an optimized crystal structure of FeHgSbIr.

Output
Raw total energy (eV per atom): -5.00
V (Å³/atom): 17.35
Space group: No. 216
ΔE to the lowest computed polymorph (meV per atom): 0
Crystal system: cubic

Cell lengths 4.613, 4.613, 4.613 Å; angles 60.00, 60.00, 60.00 degrees
Fractional positions:
Fe 0.000 0.000 0.000
Hg 0.250 0.250 0.250
Sb 0.750 0.750 0.750
Ir 0.500 0.500 0.500